Version a
! PaGaC | Alexandria | PBE | relaxed; values from VASP
! Theoretical density = 8.82 g/cm3
&SYSTEM
  ibrav = 0, nat = 3, ntyp = 3
/
ATOMIC_SPECIES
Pa 231.04 Pa.upf
Ga 69.72 Ga.upf
C 12.01 C.upf
CELL_PARAMETERS angstrom
-1.622 1.622 5.592
1.622 -1.622 5.592
1.622 1.622 -5.592
ATOMIC_POSITIONS crystal
Pa 0.000 0.000 0.000
Ga 0.281 0.281 0.000
C 0.550 0.550 0.000

***

Version b
! PaGaC | Alexandria | PBE | relaxed; values from VASP
! Theoretical density = 8.78 g/cm3
&SYSTEM
  ibrav = 0, nat = 6, ntyp = 3
/
ATOMIC_SPECIES
Pa 231.04 Pa.upf
Ga 69.72 Ga.upf
C 12.01 C.upf
CELL_PARAMETERS angstrom
1.969 1.137 8.809
-1.969 1.137 8.809
0.000 -2.274 8.809
ATOMIC_POSITIONS crystal
Pa 0.221 0.221 0.221
Pa 0.779 0.779 0.779
Ga 0.358 0.358 0.358
Ga 0.642 0.642 0.642
C 0.131 0.131 0.131
C 0.869 0.869 0.869

***

It is version b that is most stable; the runner-up trails by 36.6 kJ/mol of atoms.